# 1
Computed, not measured: a geometry-optimized AcErP2S8 structure at the PBE level of DFT.

It has space group P-3 (No. 147), with a = 6.0020 Å, b = 6.0020 Å, c = 9.0489 Å, α = 90.00°, β = 90.00° and γ = 120.00°. Symmetry generates all atoms from Ac at (0.0000, 0.0000, 0.0000), Er at (0.0000, 0.0000, 0.5000), P at (0.3333, 0.6667, 0.7661), S at (0.0067, 0.3325, 0.7048) and S at (0.3333, 0.6667, 0.9903).

The formation energy without anion corrections is -0.982 eV/atom. The crystal system is trigonal. As for the calculated density: 4192 kg/m³.


# 2
Computed, not measured: a geometry-optimized Ac2SmErP4 structure at the PBE level of DFT.

It has space group P2/m (No. 10), with a = 7.3455 Å, b = 4.2442 Å, c = 7.3629 Å, α = 90.00°, β = 109.40° and γ = 90.00°. Symmetry generates all atoms from Ac at (0.0000, 0.0000, 0.0000), Ac at (0.5000, 0.5000, 0.0000), Sm at (0.0000, 0.5000, 0.5000), Er at (0.5000, 0.0000, 0.5000), P at (0.2470, 0.0000, 0.7296) and P at (0.2611, 0.5000, 0.2726).

The crystal system is monoclinic. The energy of formation is -11.87 eV/f.u. As for the calculated density: 6868 kg/m³.


# 3
Computed, not measured: a geometry-optimized AcErTeP structure at the PBE level of DFT.

It has space group R3m (No. 160, hexagonal axes), with a = 4.2276 Å, b = 4.2276 Å, c = 23.0133 Å, α = 90.00°, β = 90.00° and γ = 120.00°. Symmetry generates all atoms from Ac at (0.0000, 0.0000, 0.0000), Er at (0.0000, 0.0000, 0.1929), Te at (0.0000, 0.0000, 0.4372) and P at (0.0000, 0.0000, 0.5889).

The formation energy without anion corrections is -1.445 eV/atom. The crystal system is trigonal. As for the calculated density: 7731 kg/m³.


# 4
Computed, not measured: a geometry-optimized AcEr2ThP4 structure at the PBE level of DFT.

It has space group P2/m (No. 10), with a = 7.1167 Å, b = 4.1327 Å, c = 7.1802 Å, α = 90.00°, β = 109.46° and γ = 90.00°. Symmetry generates all atoms from Ac at (0.0000, 0.0000, 0.0000), Er at (0.5000, 0.0000, 0.5000), Er at (0.5000, 0.5000, 0.0000), Th at (0.0000, 0.5000, 0.5000), P at (0.2637, 0.0000, 0.7461) and P at (0.2694, 0.5000, 0.2661).

The crystal system is monoclinic. The energy of formation is -12.26 eV/f.u. As for the calculated density: 7651 kg/m³.


# 5
Computed, not measured: a geometry-optimized Ac2ErPa structure at the PBE level of DFT.

It has space group Fm-3m (No. 225), with a = 8.3197 Å, b = 8.3197 Å, c = 8.3197 Å, α = 90.00°, β = 90.00° and γ = 90.00°. Symmetry generates all atoms from Ac at (0.2500, 0.2500, 0.2500), Er at (0.0000, 0.0000, 0.0000) and Pa at (0.0000, 0.0000, 0.5000).

The crystal system is cubic. The energy of formation is 1.96 eV/f.u. As for the calculated density: 9831 kg/m³.


# 6
Computed, not measured: a geometry-optimized AcErPa structure at the PBE level of DFT.

It has space group P3m1 (No. 156), with a = 3.5498 Å, b = 3.5498 Å, c = 8.8298 Å, α = 90.00°, β = 90.00° and γ = 120.00°. Symmetry generates all atoms from Ac at (0.0000, 0.0000, 0.0000), Er at (0.3333, 0.6667, 0.6335) and Pa at (0.6667, 0.3333, 0.3285).

The crystal system is trigonal. The energy of formation is 0.80 eV/f.u. As for the calculated density: 10776 kg/m³. For the energy above the most stable polymorph in this dataset, the calculation gives 5 meV/atom.


# 7
Computed, not measured: a geometry-optimized AcErPa structure at the PBE level of DFT.

It has space group P4/nmm (No. 129, origin choice 2), with a = 3.5359 Å, b = 3.5359 Å, c = 15.6064 Å, α = 90.00°, β = 90.00° and γ = 90.00°. Symmetry generates all atoms from Ac at (0.2500, 0.2500, 0.1081), Er at (0.2500, 0.2500, 0.4146) and Pa at (0.2500, 0.2500, 0.7309).

The crystal system is tetragonal. The energy of formation is 0.79 eV/f.u. As for the calculated density: 10643 kg/m³. For the energy above the most stable polymorph in this dataset, the calculation gives 0 meV/atom.


# 8
Computed, not measured: a geometry-optimized AcEr4Pb4 structure at the PBE level of DFT.

It has space group P4_2/n (No. 86, origin choice 2), with a = 10.1524 Å, b = 10.1524 Å, c = 6.0758 Å, α = 90.00°, β = 90.00° and γ = 90.00°. Symmetry generates all atoms from Ac at (0.2500, 0.2500, 0.2500), Er at (0.1245, 0.8667, 0.6550) and Pb at (0.0524, 0.9089, 0.1752).

The crystal system is tetragonal. The energy of formation is -1.99 eV/f.u. As for the calculated density: 9147 kg/m³.


# 9
Computed, not measured: a geometry-optimized AcErPb3 structure at the PBE level of DFT.

It has space group Cm (No. 8), with a = 6.9274 Å, b = 6.9345 Å, c = 8.1157 Å, α = 90.00°, β = 115.04° and γ = 90.00°. Symmetry generates all atoms from Ac at (0.0000, 0.0000, 0.0000), Er at (0.3145, 0.0000, 0.6337), Pb at (0.0201, 0.5000, 0.0394) and Pb at (0.4316, 0.2500, 0.3658).

The crystal system is monoclinic. The energy of formation is -0.99 eV/f.u. As for the calculated density: 9551 kg/m³.


# 10
Computed, not measured: a geometry-optimized Ac5Er2Pb5 structure at the PBE level of DFT.

It has space group C2/m (No. 12), with a = 15.7550 Å, b = 4.7540 Å, c = 13.4724 Å, α = 90.00°, β = 111.05° and γ = 90.00°. Symmetry generates all atoms from Ac at (0.0000, 0.0000, 0.0000), Ac at (0.1630, 0.0000, 0.5402), Ac at (0.2316, 0.0000, 0.8467), Er at (0.0500, 0.5000, 0.2941), Pb at (0.0000, 0.5000, 0.5000), Pb at (0.1099, 0.5000, 0.9135) and Pb at (0.1784, 0.0000, 0.2850).

The crystal system is monoclinic. The energy of formation is -4.60 eV/f.u. As for the calculated density: 8836 kg/m³.


# 11
Computed, not measured: a geometry-optimized Ac5ErPb3 structure at the PBE level of DFT.

It has space group P6_3/mcm (No. 193), with a = 10.3044 Å, b = 10.3044 Å, c = 7.2512 Å, α = 90.00°, β = 90.00° and γ = 120.00°. Symmetry generates all atoms from Ac at (0.0000, 0.3091, 0.2500), Ac at (0.3333, 0.6667, 0.0000), Er at (0.0000, 0.0000, 0.0000) and Pb at (0.0000, 0.3520, 0.7500).

The crystal system is hexagonal. The energy of formation is -2.83 eV/f.u. As for the calculated density: 9581 kg/m³.


# 12
Computed, not measured: a geometry-optimized Ac2Er2Pb structure at the PBE level of DFT.

It has space group I4/mmm (No. 139), with a = 4.4554 Å, b = 4.4554 Å, c = 19.4141 Å, α = 90.00°, β = 90.00° and γ = 90.00°. Symmetry generates all atoms from Ac at (0.0000, 0.0000, 0.0904), Er at (0.0000, 0.5000, 0.2500) and Pb at (0.0000, 0.0000, 0.5000).

The crystal system is tetragonal. The energy of formation is 0.78 eV/f.u. As for the calculated density: 8581 kg/m³.


# 13
Computed, not measured: a geometry-optimized AcErPb2 structure at the PBE level of DFT.

It has space group P4/mmm (No. 123), with a = 4.1593 Å, b = 4.1593 Å, c = 7.3151 Å, α = 90.00°, β = 90.00° and γ = 90.00°. Symmetry generates all atoms from Ac at (0.0000, 0.0000, 0.0000), Er at (0.0000, 0.0000, 0.5000) and Pb at (0.5000, 0.5000, 0.2820).

The crystal system is tetragonal. The energy of formation is -1.69 eV/f.u. As for the calculated density: 10611 kg/m³.